[1]
Here is a relaxed structure of AcYGaN3 from the Alexandria database. Energies are from PBE-GGA.

POSCAR file:
```
AcYGaN3
1.0
7.601 0.000 0.000
0.000 3.545 0.000
-1.413 0.000 7.630
Ac Y Ga N
2 2 2 6
direct
0.188 0.250 0.198 Ac
0.812 0.750 0.802 Ac
0.357 0.750 0.847 Y
0.643 0.250 0.153 Y
0.099 0.250 0.611 Ga
0.901 0.750 0.389 Ga
0.133 0.250 0.861 N
0.163 0.750 0.508 N
0.418 0.750 0.146 N
0.582 0.250 0.854 N
0.837 0.250 0.492 N
0.867 0.750 0.139 N
```

Formation energy without anion corrections in eV per formula unit: -5.66
Crystal system: monoclinic
Symmetry: P2_1/m, No. 11

[2]
Here is a relaxed structure of PmPr2ThPt2 from the Alexandria database. Energies are from PBE-GGA.

POSCAR file:
```
PmPr2ThPt2
1.0
-3.571 7.053 3.584
3.571 -7.053 3.584
3.571 7.053 -3.584
Pm Pr Th Pt
2 4 2 4
direct
0.250 0.250 0.000 Pm
0.750 0.750 0.000 Pm
0.194 0.724 0.918 Pr
0.306 0.224 0.530 Pr
0.694 0.776 0.470 Pr
0.806 0.276 0.082 Pr
0.250 0.750 0.500 Th
0.750 0.250 0.500 Th
0.104 0.265 0.369 Pt
0.396 0.765 0.161 Pt
0.604 0.235 0.839 Pt
0.896 0.735 0.631 Pt
```

E_tot in eV per atom: -6.370
Density of states at the Fermi level in states/eV/f.u.: 4.55
Crystal system: orthorhombic
Symmetry: Ibam, No. 72

[3]
Here is a relaxed structure of CoHPb2 from the Alexandria database. Energies are from PBE-GGA.

POSCAR file:
```
CoHPb2
1.0
0.000 3.279 3.279
3.279 0.000 3.279
3.279 3.279 0.000
Co H Pb
1 1 2
direct
0.000 0.000 0.000 Co
0.500 0.500 0.500 H
0.250 0.250 0.250 Pb
0.750 0.750 0.750 Pb
```

Density of states at the Fermi level in states/eV/f.u.: 3.30
Crystal system: cubic
Symmetry: Fm-3m, No. 225
Offset from the most stable computed form in kJ per mole of atoms: 0.0

[4]
Here is a relaxed structure of AlOs from the Alexandria database. Energies are from PBE-GGA.

POSCAR file:
```
AlOs
1.0
4.308 0.000 0.000
-2.154 3.731 0.000
0.000 0.000 7.978
Al Os
4 4
direct
0.333 0.667 0.081 Al
0.333 0.667 0.419 Al
0.667 0.333 0.581 Al
0.667 0.333 0.919 Al
0.000 0.000 0.250 Os
0.000 0.000 0.750 Os
0.333 0.667 0.750 Os
0.667 0.333 0.250 Os
```

E_tot in eV per atom: -7.386
Density of states at the Fermi level in states/eV/f.u.: 2.47
Crystal system: hexagonal
Symmetry: P6_3/mmc, No. 194

[5]
Here is a relaxed structure of TaSbBr2 from the Alexandria database. Energies are from PBE-GGA.

POSCAR file:
```
TaSbBr2
1.0
3.219 0.000 0.000
0.000 4.956 0.000
0.000 0.000 5.800
Ta Sb Br
1 1 2
direct
0.000 0.000 0.000 Ta
0.500 0.000 0.500 Sb
0.000 0.500 0.500 Br
0.500 0.500 0.000 Br
```

Formation energy without anion corrections in eV per formula unit: 2.05
Density of states at the Fermi level in states/eV/f.u.: 3.60
Crystal system: orthorhombic
Symmetry: Pmmm, No. 47
Offset from the most stable computed form in kJ per mole of atoms: 80.8

[6]
Here is a relaxed structure of Ac2PrZrN4 from the Alexandria database. Energies are from PBE-GGA.

POSCAR file:
```
Ac2PrZrN4
1.0
6.314 0.000 0.000
0.000 3.634 0.000
-2.088 0.000 6.094
Ac Pr Zr N
2 1 1 4
direct
0.000 0.000 0.000 Ac
0.500 0.500 0.000 Ac
0.000 0.500 0.500 Pr
0.500 0.000 0.500 Zr
0.268 0.000 0.717 N
0.279 0.500 0.285 N
0.721 0.500 0.715 N
0.732 0.000 0.283 N
```

Formation energy without anion corrections in eV per formula unit: -9.61
Density of states at the Fermi level in states/eV/f.u.: 1.55
Crystal system: monoclinic
Symmetry: P2/m, No. 10

[7]
Here is a relaxed structure of Ac2Nd2Te7 from the Alexandria database. Energies are from PBE-GGA.

POSCAR file:
```
Ac2Nd2Te7
1.0
5.443 -5.917 0.000
5.443 5.917 0.000
0.000 0.000 6.891
Ac Nd Te
2 2 7
direct
0.247 0.247 0.000 Ac
0.753 0.753 0.000 Ac
0.269 0.731 0.500 Nd
0.731 0.269 0.500 Nd
0.000 0.000 0.500 Te
0.000 0.500 0.245 Te
0.000 0.500 0.755 Te
0.500 0.000 0.245 Te
0.500 0.000 0.755 Te
0.500 0.500 0.255 Te
0.500 0.500 0.745 Te
```

Formation energy without anion corrections in eV per formula unit: -12.85
Density of states at the Fermi level in states/eV/f.u.: 4.96
Crystal system: orthorhombic
Symmetry: Cmmm, No. 65

[8]
Here is a relaxed structure of AcLa4Se7 from the Alexandria database. Energies are from PBE-GGA.

POSCAR file:
```
AcLa4Se7
1.0
7.190 -2.115 0.000
7.190 2.115 0.000
-3.301 0.000 12.274
Ac La Se
1 4 7
direct
0.000 0.000 0.000 Ac
0.113 0.113 0.423 La
0.225 0.225 0.837 La
0.413 0.413 0.607 La
0.813 0.813 0.236 La
0.067 0.067 0.635 Se
0.160 0.160 0.210 Se
0.367 0.367 0.070 Se
0.455 0.455 0.371 Se
0.616 0.616 0.916 Se
0.772 0.772 0.471 Se
0.850 0.850 0.767 Se
```

Formation energy without anion corrections in eV per formula unit: -24.02
Density of states at the Fermi level in states/eV/f.u.: 1.98
Crystal system: monoclinic
Symmetry: Cm, No. 8